Record 1
A relaxed structure of Tb3NiRh. Source: Alexandria, functional PBE-GGA.

a b c (Å): 5.9192 5.9246 8.0158
angles (deg): 70.13 70.22 64.24
Fractional positions:
Tb: 0.0011 0.0013 0.2287
Tb: 0.3035 0.3029 0.3518
Tb: 0.3172 0.3171 0.8354
Tb: 0.6828 0.6829 0.1646
Tb: 0.6965 0.6971 0.6482
Tb: 0.9989 0.9987 0.7713
Ni: 0.3123 0.6874 0.0004
Ni: 0.6877 0.3126 0.9996
Rh: 0.2737 0.7270 0.4999
Rh: 0.7263 0.2730 0.5001

Results
**Symmetry**: No. 2
**VASP energy**: -29.54 eV/f.u.
**ΔE to the lowest computed polymorph**: 0.028 eV/atom
**ρ**: 9.1 Mg/m³
**Formation energy from the elements**: -504 meV/atom

Record 2
A relaxed structure of Tb6NiRh5. Source: Alexandria, functional PBE-GGA.

a b c (Å): 4.8437 6.9265 7.6560
angles (deg): 90.00 108.21 90.00
Fractional positions:
Tb: 0.0000 0.2488 0.0000
Tb: 0.0000 0.7512 0.0000
Tb: 0.3337 0.2492 0.6675
Tb: 0.3337 0.7508 0.6675
Tb: 0.6663 0.2492 0.3325
Tb: 0.6663 0.7508 0.3325
Ni: 0.5000 0.0000 0.0000
Rh: 0.1665 0.0000 0.3327
Rh: 0.1673 0.5000 0.3345
Rh: 0.5000 0.5000 0.0000
Rh: 0.8335 0.0000 0.6673
Rh: 0.8327 0.5000 0.6655

Results
**Symmetry**: No. 10
**VASP energy**: -79.52 eV/f.u.
**ρ**: 10.4 Mg/m³
**Formation energy from the elements**: -767 meV/atom

Record 3
A relaxed structure of TbNi4Rh. Source: Alexandria, functional PBE-GGA.

a b c (Å): 4.8851 4.8851 4.8851
angles (deg): 60.00 60.00 60.00
Fractional positions:
Tb: 0.0000 0.0000 0.0000
Ni: 0.3760 0.3760 0.3760
Ni: 0.3760 0.3760 0.8719
Ni: 0.3760 0.8719 0.3760
Ni: 0.8719 0.3760 0.3760
Rh: 0.7500 0.7500 0.7500

Results
**Symmetry**: No. 216
**VASP energy**: -36.65 eV/f.u.
**ΔE to the lowest computed polymorph**: 0.000 eV/atom
**ρ**: 10.0 Mg/m³
**Formation energy from the elements**: -257 meV/atom

Record 4
A relaxed structure of TbThNiRh. Source: Alexandria, functional PBE-GGA.

a b c (Å): 4.4407 3.7647 10.3451
angles (deg): 90.00 90.00 90.00
Fractional positions:
Tb: 0.0000 0.0000 0.0000
Tb: 0.0000 0.5000 0.5000
Th: 0.5000 0.0000 0.2755
Th: 0.5000 0.5000 0.7755
Ni: 0.0000 0.0000 0.7220
Ni: 0.0000 0.5000 0.2220
Rh: 0.5000 0.0000 0.5500
Rh: 0.5000 0.5000 0.0500

Results
**Symmetry**: No. 38
**VASP energy**: -27.87 eV/f.u.
**ΔE to the lowest computed polymorph**: 0.000 eV/atom
**ρ**: 10.6 Mg/m³
**Formation energy from the elements**: -672 meV/atom

Record 5
A relaxed structure of TbThNiRh. Source: Alexandria, functional PBE-GGA.

a b c (Å): 6.9870 6.9870 6.9870
angles (deg): 90.00 90.00 90.00
Fractional positions:
Tb: 0.0000 0.0000 0.0000
Tb: 0.0000 0.5000 0.5000
Tb: 0.5000 0.0000 0.5000
Tb: 0.5000 0.5000 0.0000
Th: 0.0000 0.0000 0.5000
Th: 0.0000 0.5000 0.0000
Th: 0.5000 0.0000 0.0000
Th: 0.5000 0.5000 0.5000
Ni: 0.2500 0.2500 0.7500
Ni: 0.2500 0.7500 0.2500
Ni: 0.7500 0.2500 0.2500
Ni: 0.7500 0.7500 0.7500
Rh: 0.2500 0.2500 0.2500
Rh: 0.2500 0.7500 0.7500
Rh: 0.7500 0.2500 0.7500
Rh: 0.7500 0.7500 0.2500

Results
**Symmetry**: No. 216
**VASP energy**: -27.37 eV/f.u.
**ΔE to the lowest computed polymorph**: 0.125 eV/atom
**ρ**: 10.8 Mg/m³
**Formation energy from the elements**: -548 meV/atom

Record 6
A relaxed structure of TbTiNiRh. Source: Alexandria, functional PBE-GGA.

a b c (Å): 6.5056 6.5056 6.5056
angles (deg): 90.00 90.00 90.00
Fractional positions:
Tb: 0.0000 0.0000 0.0000
Tb: 0.0000 0.5000 0.5000
Tb: 0.5000 0.0000 0.5000
Tb: 0.5000 0.5000 0.0000
Ti: 0.0000 0.0000 0.5000
Ti: 0.0000 0.5000 0.0000
Ti: 0.5000 0.0000 0.0000
Ti: 0.5000 0.5000 0.5000
Ni: 0.2500 0.2500 0.2500
Ni: 0.2500 0.7500 0.7500
Ni: 0.7500 0.2500 0.7500
Ni: 0.7500 0.7500 0.2500
Rh: 0.2500 0.2500 0.7500
Rh: 0.2500 0.7500 0.2500
Rh: 0.7500 0.2500 0.2500
Rh: 0.7500 0.7500 0.7500

Results
**Symmetry**: No. 216
**VASP energy**: -27.34 eV/f.u.
**ρ**: 8.9 Mg/m³
**Formation energy from the elements**: -422 meV/atom

Record 7
A relaxed structure of TbTlNiRh. Source: Alexandria, functional PBE-GGA.

a b c (Å): 6.6722 6.6722 6.6722
angles (deg): 90.00 90.00 90.00
Fractional positions:
Tb: 0.0000 0.0000 0.0000
Tb: 0.0000 0.5000 0.5000
Tb: 0.5000 0.0000 0.5000
Tb: 0.5000 0.5000 0.0000
Tl: 0.0000 0.0000 0.5000
Tl: 0.0000 0.5000 0.0000
Tl: 0.5000 0.0000 0.0000
Tl: 0.5000 0.5000 0.5000
Ni: 0.2500 0.2500 0.2500
Ni: 0.2500 0.7500 0.7500
Ni: 0.7500 0.2500 0.7500
Ni: 0.7500 0.7500 0.2500
Rh: 0.2500 0.2500 0.7500
Rh: 0.2500 0.7500 0.2500
Rh: 0.7500 0.2500 0.2500
Rh: 0.7500 0.7500 0.7500

Results
**Symmetry**: No. 216
**VASP energy**: -21.43 eV/f.u.
**ρ**: 11.7 Mg/m³
**Formation energy from the elements**: -326 meV/atom

Record 8
A relaxed structure of TbTmNiRh. Source: Alexandria, functional PBE-GGA.

a b c (Å): 6.7868 6.7868 6.7868
angles (deg): 90.00 90.00 90.00
Fractional positions:
Tb: 0.0000 0.0000 0.0000
Tb: 0.0000 0.5000 0.5000
Tb: 0.5000 0.0000 0.5000
Tb: 0.5000 0.5000 0.0000
Tm: 0.0000 0.0000 0.5000
Tm: 0.0000 0.5000 0.0000
Tm: 0.5000 0.0000 0.0000
Tm: 0.5000 0.5000 0.5000
Ni: 0.2500 0.2500 0.2500
Ni: 0.2500 0.7500 0.7500
Ni: 0.7500 0.2500 0.7500
Ni: 0.7500 0.7500 0.2500
Rh: 0.2500 0.2500 0.7500
Rh: 0.2500 0.7500 0.2500
Rh: 0.7500 0.2500 0.2500
Rh: 0.7500 0.7500 0.7500

Results
**Symmetry**: No. 216
**VASP energy**: -24.84 eV/f.u.
**ΔE to the lowest computed polymorph**: 0.018 eV/atom
**ρ**: 10.4 Mg/m³
**Formation energy from the elements**: -652 meV/atom

Record 9
A relaxed structure of TbTmNiRh. Source: Alexandria, functional PBE-GGA.

a b c (Å): 4.0965 3.8038 10.4957
angles (deg): 90.00 90.00 90.00
Fractional positions:
Tb: 0.0000 0.0000 0.0000
Tb: 0.0000 0.5000 0.5000
Tm: 0.5000 0.0000 0.7175
Tm: 0.5000 0.5000 0.2175
Ni: 0.5000 0.0000 0.4358
Ni: 0.5000 0.5000 0.9358
Rh: 0.0000 0.0000 0.2774
Rh: 0.0000 0.5000 0.7774

Results
**Symmetry**: No. 38
**VASP energy**: -24.91 eV/f.u.
**ΔE to the lowest computed polymorph**: 0.000 eV/atom
**ρ**: 9.9 Mg/m³
**Formation energy from the elements**: -670 meV/atom

Record 10
A relaxed structure of TbYNiRh. Source: Alexandria, functional PBE-GGA.

a b c (Å): 6.8493 6.8493 6.8493
angles (deg): 90.00 90.00 90.00
Fractional positions:
Tb: 0.0000 0.0000 0.0000
Tb: 0.0000 0.5000 0.5000
Tb: 0.5000 0.0000 0.5000
Tb: 0.5000 0.5000 0.0000
Y: 0.0000 0.0000 0.5000
Y: 0.0000 0.5000 0.0000
Y: 0.5000 0.0000 0.0000
Y: 0.5000 0.5000 0.5000
Ni: 0.2500 0.2500 0.2500
Ni: 0.2500 0.7500 0.7500
Ni: 0.7500 0.2500 0.7500
Ni: 0.7500 0.7500 0.2500
Rh: 0.2500 0.2500 0.7500
Rh: 0.2500 0.7500 0.2500
Rh: 0.7500 0.2500 0.2500
Rh: 0.7500 0.7500 0.7500

Results
**Symmetry**: No. 216
**VASP energy**: -26.64 eV/f.u.
**ΔE to the lowest computed polymorph**: 0.030 eV/atom
**ρ**: 8.5 Mg/m³
**Formation energy from the elements**: -603 meV/atom

Record 11
A relaxed structure of TbYNiRh. Source: Alexandria, functional PBE-GGA.

a b c (Å): 4.1421 3.8288 10.5882
angles (deg): 90.00 90.00 90.00
Fractional positions:
Tb: 0.0000 0.0000 0.0000
Tb: 0.0000 0.5000 0.5000
Y: 0.5000 0.0000 0.7177
Y: 0.5000 0.5000 0.2177
Ni: 0.0000 0.0000 0.2813
Ni: 0.0000 0.5000 0.7813
Rh: 0.5000 0.0000 0.4367
Rh: 0.5000 0.5000 0.9367

Results
**Symmetry**: No. 38
**VASP energy**: -26.76 eV/f.u.
**ΔE to the lowest computed polymorph**: 0.000 eV/atom
**ρ**: 8.1 Mg/m³
**Formation energy from the elements**: -633 meV/atom

Record 12
A relaxed structure of TbZnNiRh. Source: Alexandria, functional PBE-GGA.

a b c (Å): 6.4093 6.4093 6.4093
angles (deg): 90.00 90.00 90.00
Fractional positions:
Tb: 0.0000 0.0000 0.0000
Tb: 0.0000 0.5000 0.5000
Tb: 0.5000 0.0000 0.5000
Tb: 0.5000 0.5000 0.0000
Zn: 0.0000 0.0000 0.5000
Zn: 0.0000 0.5000 0.0000
Zn: 0.5000 0.0000 0.0000
Zn: 0.5000 0.5000 0.5000
Ni: 0.2500 0.2500 0.2500
Ni: 0.2500 0.7500 0.7500
Ni: 0.7500 0.2500 0.7500
Ni: 0.7500 0.7500 0.2500
Rh: 0.2500 0.2500 0.7500
Rh: 0.2500 0.7500 0.2500
Rh: 0.7500 0.2500 0.2500
Rh: 0.7500 0.7500 0.7500

Results
**Symmetry**: No. 216
**VASP energy**: -20.83 eV/f.u.
**ρ**: 9.7 Mg/m³
**Formation energy from the elements**: -449 meV/atom

Which of these has the lowest formation energy from the elements? Tb6NiRh5